A relaxed structure of Ba2NiHgGe, computed with GGA-PBE.

Density of states at the Fermi level (states/eV per cell): 3.30
Calculated formation energy (eV/atom): -0.37

Cell lengths 6.061, 6.061, 4.506 Å; angles 90.00, 90.00, 90.00 degrees
Space group P4/mmm (No. 123)
Symmetry-distinct sites (fractional):
Ba1 0.000 0.500 0.000 (multiplicity 2)
Ni1 0.000 0.000 0.000 (multiplicity 1)
Hg1 0.500 0.500 0.500 (multiplicity 1)
Ge1 0.000 0.000 0.500 (multiplicity 1)

---

A relaxed structure of BaHgGeO4, computed with GGA-PBE.

ΔE_f (raw) (meV/atom): -1620

Cell lengths 5.828, 6.121, 7.079 Å; angles 90.00, 106.70, 90.00 degrees
Space group P2_1/m (No. 11)
Symmetry-distinct sites (fractional):
Ba1 0.220 0.250 0.434 (multiplicity 2)
Hg1 0.320 0.250 0.962 (multiplicity 2)
Ge1 0.236 0.750 0.176 (multiplicity 2)
O1 0.026 0.750 0.941 (multiplicity 2)
O2 0.089 0.750 0.363 (multiplicity 2)
O3 0.453 0.529 0.219 (multiplicity 4)